(1)
{"formula": "SrLiMn", "functional": "GGA-PBE", "state": "relaxed", "cell": [[-3.585, -0.989, -5.009], [-4.962, -3.095, -2.172], [-2.999, 2.306, 0.257]], "species": ["Li", "Mn", "Sr"], "frac_coords": [[0.962, 0.962, 0.038], [0.366, 0.366, 0.634], [0.672, 0.672, 0.328]], "ef_mev_per_atom": 454, "e_above_lowest_polymorph_ev_per_atom": 0.000, "e_tot_ev_per_cell": -11.4}

***

(2)
{"formula": "Pm6Sm2Tm3In", "functional": "GGA-PBE", "state": "relaxed", "cell": [[-2.625, -2.599, 4.944], [-0.456, -2.708, -5.528], [10.811, -4.133, 2.283]], "species": ["Pm", "Pm", "Pm", "Pm", "Pm", "Pm", "Sm", "Sm", "Tm", "Tm", "Tm", "In"], "frac_coords": [[0.916, 0.589, 0.749], [0.757, 0.757, 0.252], [0.084, 0.411, 0.251], [0.589, 0.916, 0.749], [0.243, 0.243, 0.748], [0.411, 0.084, 0.251], [0.334, 0.666, 0.000], [0.666, 0.334, 0.000], [0.167, 0.833, 0.500], [0.833, 0.167, 0.500], [0.500, 0.500, 0.500], [0.000, 0.000, 0.000]], "ef_mev_per_atom": -47, "e_tot_ev_per_cell": -54.7}

***

(3)
{"formula": "NaCaInSn", "functional": "GGA-PBE", "state": "relaxed", "cell": [[-4.166, -0.015, -1.569], [0.570, -4.614, -1.470], [-1.669, -1.623, 4.447]], "species": ["Na", "Ca", "In", "Sn"], "frac_coords": [[0.500, 0.000, 0.500], [0.500, 0.500, 0.000], [0.000, 0.500, 0.500], [0.000, 0.000, 0.000]], "ef_mev_per_atom": -331, "e_above_lowest_polymorph_ev_per_atom": 0.007, "e_tot_ev_per_cell": -11.4}

***

(4)
{"formula": "Sc2OsBr", "functional": "GGA-PBE", "state": "relaxed", "cell": [[0.277, -4.511, 1.504], [-1.262, -1.106, 4.458], [-3.979, -2.493, 0.800]], "species": ["Sc", "Sc", "Os", "Br"], "frac_coords": [[0.250, 0.250, 0.250], [0.750, 0.750, 0.750], [0.500, 0.500, 0.500], [0.000, 0.000, 0.000]], "e_above_lowest_polymorph_ev_per_atom": 0.635, "e_form_raw_kcal_per_mol_atoms": -2.66, "e_tot_ev_per_cell": -26.0}

***

(5)
{"formula": "GaPd4Au3", "functional": "GGA-PBE", "state": "relaxed", "cell": [[4.066, 0.005, -1.095], [-0.286, 4.061, -1.076], [-0.043, -0.083, 7.902]], "species": ["Au", "Au", "Au", "Pd", "Pd", "Pd", "Pd", "Ga"], "frac_coords": [[0.000, 0.500, 0.000], [0.751, 0.251, 0.501], [0.249, 0.749, 0.499], [0.381, 0.381, 0.762], [0.619, 0.619, 0.238], [0.119, 0.119, 0.238], [0.881, 0.881, 0.762], [0.500, 0.000, 0.000]], "ef_mev_per_atom": -278, "e_above_lowest_polymorph_ev_per_atom": 0.000, "e_tot_ev_per_cell": -35.9}

***

(6)
{"formula": "Y2TeMoAs", "functional": "GGA-PBE", "state": "relaxed", "cell": [[5.442, 0.000, 0.000], [0.000, 4.634, 0.000], [0.000, 0.000, 5.442]], "species": ["Y", "Y", "Mo", "Te", "As"], "frac_coords": [[0.000, 0.000, 0.500], [0.500, 0.000, 0.000], [0.000, 0.500, 0.000], [0.500, 0.500, 0.500], [0.000, 0.000, 0.000]], "e_above_lowest_polymorph_ev_per_atom": 0.000, "e_form_raw_kcal_per_mol_atoms": -3.21, "e_tot_ev_per_cell": -32.2}

***

(7)
{"formula": "Ca2TePdN", "functional": "GGA-PBE", "state": "relaxed", "cell": [[-1.951, -0.461, -4.741], [4.576, -1.603, -1.727], [-1.028, -3.786, 0.791]], "species": ["Ca", "Ca", "Te", "Pd", "N"], "frac_coords": [[0.000, 0.500, 0.000], [0.500, 0.000, 0.000], [0.500, 0.500, 0.500], [0.000, 0.000, 0.500], [0.000, 0.000, 0.000]], "e_form_raw_kcal_per_mol_atoms": -20.51, "e_tot_ev_per_cell": -25.1}

***

(8)
{"formula": "RbCuP2S", "functional": "GGA-PBE", "state": "relaxed", "cell": [[4.632, 0.000, 0.000], [0.000, 4.632, 0.000], [0.000, 0.000, 5.088]], "species": ["P", "P", "S", "Cu", "Rb"], "frac_coords": [[0.000, 0.500, 0.000], [0.500, 0.000, 0.000], [0.000, 0.000, 0.500], [0.000, 0.000, 0.000], [0.500, 0.500, 0.500]], "e_form_raw_kcal_per_mol_atoms": 8.81, "e_tot_ev_per_cell": -18.1}

***

(9)
{"formula": "Na2Al3ZnAu12", "functional": "GGA-PBE", "state": "relaxed", "cell": [[-5.974, -4.111, 3.644], [2.095, -5.326, 5.755], [-1.720, 1.935, 7.692]], "species": ["Na", "Na", "Al", "Al", "Al", "Zn", "Au", "Au", "Au", "Au", "Au", "Au", "Au", "Au", "Au", "Au", "Au", "Au"], "frac_coords": [[0.617, 0.617, 0.617], [0.383, 0.383, 0.383], [0.500, 0.000, 0.000], [0.000, 0.500, 0.000], [0.000, 0.000, 0.500], [0.000, 0.000, 0.000], [0.368, 0.368, 0.886], [0.869, 0.869, 0.376], [0.376, 0.869, 0.869], [0.886, 0.368, 0.368], [0.869, 0.376, 0.869], [0.368, 0.886, 0.368], [0.632, 0.632, 0.114], [0.131, 0.131, 0.624], [0.624, 0.131, 0.131], [0.114, 0.632, 0.632], [0.131, 0.624, 0.131], [0.632, 0.114, 0.632]], "ef_mev_per_atom": -86, "e_tot_ev_per_cell": -56.0}

***

(10)
{"formula": "Ba2NaPdAu", "functional": "GGA-PBE", "state": "relaxed", "cell": [[4.649, 0.000, 0.000], [0.000, 4.649, 0.000], [0.000, 0.000, 15.753]], "species": ["Ba", "Ba", "Ba", "Ba", "Na", "Na", "Pd", "Pd", "Au", "Au"], "frac_coords": [[0.000, 0.500, 0.701], [0.000, 0.500, 0.103], [0.500, 0.000, 0.897], [0.500, 0.000, 0.299], [0.000, 0.000, 0.500], [0.500, 0.500, 0.500], [0.500, 0.000, 0.103], [0.000, 0.500, 0.897], [0.500, 0.000, 0.639], [0.000, 0.500, 0.361]], "ef_mev_per_atom": -473, "e_tot_ev_per_cell": -32.0}

***

(11)
{"formula": "NaMg2Sc", "functional": "GGA-PBE", "state": "relaxed", "cell": [[0.000, 3.697, 3.697], [3.697, 0.000, 3.697], [3.697, 3.697, 0.000]], "species": ["Sc", "Na", "Mg", "Mg"], "frac_coords": [[0.500, 0.500, 0.500], [0.000, 0.000, 0.000], [0.250, 0.250, 0.250], [0.750, 0.750, 0.750]], "ef_mev_per_atom": 182, "e_above_lowest_polymorph_ev_per_atom": 0.133, "e_tot_ev_per_cell": -10.1}

***

(12)
{"formula": "K2MgFe", "functional": "GGA-PBE", "state": "relaxed", "cell": [[5.686, -0.050, 0.000], [0.027, 5.686, 0.000], [-2.856, -2.818, 4.029]], "species": ["Fe", "K", "K", "Mg"], "frac_coords": [[0.750, 0.250, 0.500], [0.000, 0.000, 0.000], [0.250, 0.750, 0.500], [0.500, 0.500, 0.000]], "ef_mev_per_atom": 831, "e_above_lowest_polymorph_ev_per_atom": 0.243, "e_tot_ev_per_cell": -8.9}